No. 1
# HoPaTeO6 (GGA-PBE, optimized geometry)
data_HoPaTeO6
_symmetry_space_group_name_H-M 'P -3 1 c'
_symmetry_Int_Tables_number 163
_symmetry_space_group_name_Hall '-P 3 2c'
_cell_length_a 5.6553
_cell_length_b 5.6553
_cell_length_c 9.6101
_cell_angle_alpha 90.00
_cell_angle_beta 90.00
_cell_angle_gamma 120.00
loop_
_atom_site_label
_atom_site_type_symbol
_atom_site_fract_x
_atom_site_fract_y
_atom_site_fract_z
Ho1 Ho 0.3333 0.6667 0.2500
Pa1 Pa 0.0000 0.0000 0.0000
Te1 Te 0.3333 0.6667 0.7500
O1 O 0.0097 0.3296 0.6289
# Fermi-level density of states = 0.0 states/eV/cell
# formation energy (no corrections) = -255 kJ/mol of atoms

***

No. 2
# Ba5LiHg6 (GGA-PBE, optimized geometry)
data_Ba5LiHg6
_symmetry_space_group_name_H-M 'C 1 2/m 1'
_symmetry_Int_Tables_number 12
_cell_length_a 10.126
_cell_length_b 17.414
_cell_length_c 5.842
_cell_angle_alpha 90.00
_cell_angle_beta 125.02
_cell_angle_gamma 90.00
loop_
_symmetry_equiv_pos_as_xyz
'x,y,z'
'-x,-y,-z'
'-x,y,-z'
'x,-y,z'
'x+1/2,y+1/2,z'
'-x+1/2,-y+1/2,-z'
'-x+1/2,y+1/2,-z'
'x+1/2,-y+1/2,z'
loop_
_atom_site_label
_atom_site_type_symbol
_atom_site_fract_x
_atom_site_fract_y
_atom_site_fract_z
Ba1 Ba 0.000 0.000 0.000
Ba2 Ba 0.000 0.169 0.500
Ba3 Ba 0.000 0.338 0.000
Li1 Li 0.000 0.500 0.500
Hg1 Hg 0.243 0.338 0.742
Hg2 Hg 0.249 0.000 0.746
# Fermi-level density of states = 21.5 states/eV/cell
# calculated formation energy = -5.347 eV per formula unit

***

No. 3
# CeIn2PbSe4 (GGA-PBE, optimized geometry)
data_CeIn2PbSe4
_symmetry_space_group_name_H-M 'P 1 2/m 1'
_symmetry_Int_Tables_number 10
_cell_length_a 7.529
_cell_length_b 4.301
_cell_length_c 7.815
_cell_angle_alpha 90.00
_cell_angle_beta 108.38
_cell_angle_gamma 90.00
loop_
_symmetry_equiv_pos_as_xyz
'x,y,z'
'-x,-y,-z'
'-x,y,-z'
'x,-y,z'
loop_
_atom_site_label
_atom_site_type_symbol
_atom_site_fract_x
_atom_site_fract_y
_atom_site_fract_z
Ce1 Ce 0.000 0.000 0.000
In1 In 0.000 0.500 0.500
In2 In 0.500 0.000 0.500
Pb1 Pb 0.500 0.500 0.000
Se1 Se 0.222 0.500 0.221
Se2 Se 0.234 0.000 0.769
# Fermi-level density of states = 4.7 states/eV/cell
# formation energy (no corrections) = -83 kJ/mol of atoms